# 1
VASP calculation (PBE-GGA) on crystalline KSnP at its relaxed geometry.

Cell: 4.0208 4.0208 19.4028 Å, 90.00 90.00 120.00°
Closest atoms and distances in Å follow each position.
Space group R3m (No. 160, hexagonal axes)
Unique sites:
K (0.0000, 0.0000, 0.0000) (multiplicity 3)  3 P 3.23
Sn (0.0000, 0.0000, 0.4845) (multiplicity 3)  3 P 2.65
P (0.0000, 0.0000, 0.2174) (multiplicity 3)  3 Sn 2.65

Summary:
formation energy from the elements	-0.3552	eV/atom
calculated volume	91	Å³/f.u.

***

# 2
VASP calculation (PBE-GGA) on crystalline KSn3P at its relaxed geometry.

Cell: 5.4387 5.4387 5.4387 Å, 90.00 90.00 90.00°
Closest atoms and distances in Å follow each position.
Space group Pm-3m (No. 221)
Unique sites:
K (0.0000, 0.0000, 0.0000) (multiplicity 1)  12 Sn 3.85
Sn (0.0000, 0.5000, 0.5000) (multiplicity 3)  2 P 2.72
P (0.5000, 0.5000, 0.5000) (multiplicity 1)  6 Sn 2.72

Summary:
energy relative to the lowest polymorph listed for this composition	0.00	eV/f.u.
formation energy from the elements	0.2253	eV/atom
calculated volume	161	Å³/f.u.

***

# 3
VASP calculation (PBE-GGA) on crystalline KSnP at its relaxed geometry.

Cell: 3.9860 13.3589 7.0356 Å, 90.00 90.00 90.00°
Closest atoms and distances in Å follow each position.
Space group Cmc2_1 (No. 36)
Unique sites:
K (0.0000, 0.0799, 0.0000) (multiplicity 4)  3 P 3.20-3.55
Sn (0.0000, 0.3476, 0.0914) (multiplicity 4)  3 P 2.59-2.77
P (0.0000, 0.2088, 0.3833) (multiplicity 4)  3 Sn 2.59-2.77

Summary:
formation energy from the elements	-0.2625	eV/atom
calculated volume	94	Å³/f.u.

***

# 4
VASP calculation (PBE-GGA) on crystalline K2SnP at its relaxed geometry.

Cell: 12.2686 12.2686 5.1934 Å, 90.00 90.00 90.00°
Closest atoms and distances in Å follow each position.
Space group I-42d (No. 122)
Unique sites:
K (0.0585, 0.2500, 0.1250) (multiplicity 8)  2 P 3.22
Sn (0.0000, 0.0000, 0.5000) (multiplicity 4)  2 P 2.60
P (0.0000, 0.0000, 0.0000) (multiplicity 4)  2 Sn 2.60

Summary:
energy relative to the lowest polymorph listed for this composition	0.00	eV/f.u.
formation energy from the elements	-0.0342	eV/atom
calculated volume	195	Å³/f.u.

***

# 5
VASP calculation (PBE-GGA) on crystalline K2SnP at its relaxed geometry.

Cell: 7.9280 7.9280 7.9280 Å, 90.00 90.00 90.00°
Closest atoms and distances in Å follow each position.
Space group Fm-3m (No. 225)
Unique sites:
K (0.2500, 0.2500, 0.2500) (multiplicity 8)  4 Sn 3.43, 4 P 3.43
Sn (0.0000, 0.0000, 0.0000) (multiplicity 4)  8 K 3.43
P (0.0000, 0.0000, 0.5000) (multiplicity 4)  8 K 3.43

Summary:
energy relative to the lowest polymorph listed for this composition	1.02	eV/f.u.
formation energy from the elements	0.2217	eV/atom
calculated volume	125	Å³/f.u.

***

# 6
VASP calculation (PBE-GGA) on crystalline KSn3P3 at its relaxed geometry.

Cell: 6.7779 6.7779 31.2773 Å, 90.00 90.00 120.00°
Closest atoms and distances in Å follow each position.
Space group R-3 (No. 148, hexagonal axes)
Unique sites:
K (0.0000, 0.0000, 0.1668) (multiplicity 6)  6 P 3.33
Sn (0.0003, 0.3325, 0.7141) (multiplicity 18)  3 P 2.60
P (0.0007, 0.3325, 0.5783) (multiplicity 18)  3 Sn 2.60

Summary:
formation energy from the elements	-0.0555	eV/atom
calculated volume	207	Å³/f.u.